CrAgBr2: relaxed, PBE.

- formation energy (no corrections) (eV/atom) = -0.009
- SG = P2/m, No. 10
- polymorph energy (0 for the lowest one) (eV/atom) = 0.082
- magnetic moment (μB/atom) = 1.2156

a = 4.0867 Å, b = 3.8233 Å, c = 6.7874 Å
α = 90.00°, β = 91.98°, γ = 90.00°
With the nearest neighbours (Å) after each atom.
Atoms (fractional coordinates):
Cr (0.0000, 0.0000, 0.0000)  4 Br 2.66
Ag (0.5000, 0.0000, 0.5000)  4 Br 2.89
Br (0.2100, 0.5000, 0.7624)  2 Cr 2.66, 2 Ag 2.89
Br (0.7900, 0.5000, 0.2376)  2 Cr 2.66, 2 Ag 2.89